A plane-wave DFT calculation with PBEsol was carried out for an optimized crystal structure of InCuPt2.

```
InCuPt2
1.0
-2.0505 1.5503 1.3783
-2.5819 -1.9468 -1.6511
0.0669 -3.7558 4.3240
Cu Pt In
1 2 1
direct
0.5000 0.5000 0.0000 Cu
0.0000 0.0000 0.7643 Pt
0.0000 0.0000 0.2357 Pt
0.5000 0.5000 0.5000 In
```

Values from the calculation:
volume = 61 Å³ per cell
formation enthalpy at 0 K = -1.310 eV per formula unit
space group = Pmmm (47)